Record 1
## NiIrOs2 (PBE)

Data for a geometry-optimized NiIrOs2 structure.

* V: 54.60 Å³ per cell
* magnetic moment: 0.0000 μB/atom
* energy of formation: 0.14 eV/atom
* Fermi-level density of states: 4.83 states/eV/cell

The structure in extended XYZ format:
```
4
Lattice="2.7014 0.0000 0.0000 0.0000 3.8144 0.0000 0.0000 0.0000 5.2984" Properties=species:S:1:pos:R:3 pbc="T T T"
Ir 1.3507 1.9072 1.3246
Ni 1.3507 1.9072 3.9738
Os 0.0000 0.0000 5.2279
Os 0.0000 0.0000 2.7198
```

=====

Record 2
## Ni2Ir2Os (PBE)

Data for a geometry-optimized Ni2Ir2Os structure.

* V: 66.80 Å³ per cell
* magnetic moment: 0.1979 μB/atom
* energy of formation: 0.06 eV/atom
* energy above the lowest structure with this stoichiometry: 0 meV per atom
* Fermi-level density of states: 7.27 states/eV/cell

The structure in extended XYZ format:
```
5
Lattice="-2.0520 1.7456 -0.0333 -0.4695 -2.6236 0.3941 1.0152 1.3936 10.4859" Properties=species:S:1:pos:R:3 pbc="T T T"
Ni -0.0755 0.0978 9.7695
Ni -1.4308 0.4179 1.0772
Ir -0.8054 1.2764 7.5368
Ir -0.7009 -0.7607 3.3099
Os 0.5076 0.6968 5.2430
```

=====

Record 3
## Ni3Ir6Os (PBE)

Data for a geometry-optimized Ni3Ir6Os structure.

* V: 278.89 Å³ per cell
* magnetic moment: 0.1427 μB/atom
* energy of formation: 0.18 eV/atom
* Fermi-level density of states: 29.38 states/eV/cell

The structure in extended XYZ format:
```
20
Lattice="-1.4480 0.0923 -2.2754 -0.6386 -4.8726 -1.3563 -15.6378 1.0640 14.6319" Properties=species:S:1:pos:R:3 pbc="T T T"
Ni -13.4804 0.8992 10.1657
Ni -1.0433 -2.3902 -1.8159
Ni -4.2440 -4.6155 0.8344
Ni -5.9082 -1.3970 2.0419
Ni -7.8189 0.5320 7.3159
Ni -11.8162 -2.3194 8.9582
Ir -15.2563 -2.3920 11.1100
Ir -10.8086 -3.2267 6.7072
Ir -3.5420 -2.3390 2.1102
Ir -14.1824 -1.3773 8.8899
Ir -6.9158 -0.4896 4.2929
Ir -2.4681 -1.3243 -0.1098
Ir -7.8679 -2.7656 3.2048
Ir -3.1094 -3.6333 -1.3838
Ir -12.3632 0.1019 7.8209
Ir -5.3612 -3.8182 3.1792
Ir -14.6150 -0.0830 12.3839
Ir -9.8565 -0.9508 7.7953
Os -8.8622 -1.8582 5.5001
Os 0.0000 0.0000 0.0000
```

=====

Record 4
## NiIrOs3 (PBE)

Data for a geometry-optimized NiIrOs3 structure.

* V: 103.22 Å³ per cell
* magnetic moment: 0.4328 μB/atom
* energy of formation: 2.62 eV/atom
* energy above the lowest structure with this stoichiometry: 654 meV per atom
* Fermi-level density of states: 7.30 states/eV/cell

The structure in extended XYZ format:
```
5
Lattice="-1.6707 -2.0077 -3.8965 0.3855 -4.2211 2.0097 -4.3663 0.3956 1.6684" Properties=species:S:1:pos:R:3 pbc="T T T"
Ni -2.8258 -2.9166 -0.1092
Ir 0.0000 0.0000 0.0000
Os 0.1927 -2.1105 1.0048
Os -2.1832 0.1978 0.8342
Os -0.8354 -1.0039 -1.9482
```

=====

Record 5
## NiIrOs2 (PBE)

Data for a geometry-optimized NiIrOs2 structure.

* V: 55.00 Å³ per cell
* magnetic moment: 0.0835 μB/atom
* energy of formation: 0.15 eV/atom
* Fermi-level density of states: 5.30 states/eV/cell

The structure in extended XYZ format:
```
4
Lattice="-2.3521 5.5857 6.4247 -3.6151 3.3702 7.3200 -1.0113 3.7768 7.9197" Properties=species:S:1:pos:R:3 pbc="T T T"
Ir -1.7446 3.1832 5.4161
Ni -5.2339 9.5496 16.2483
Os -0.0155 0.0282 0.0481
Os -3.4738 6.3381 10.7842
```

=====

Record 6
## NiIrOs2 (PBE)

Data for a geometry-optimized NiIrOs2 structure.

* V: 56.51 Å³ per cell
* magnetic moment: 0.0005 μB/atom
* energy of formation: 0.49 eV/atom
* Fermi-level density of states: 6.58 states/eV/cell

The structure in extended XYZ format:
```
4
Lattice="-2.4769 -0.0128 -0.9678 1.8195 -1.6108 -1.0801 -2.2873 -6.5670 5.9403" Properties=species:S:1:pos:R:3 pbc="T T T"
Ir -0.9005 -2.4535 0.4611
Ni -2.0442 -5.7370 3.4313
Os -2.2629 -6.4968 5.8768
Os -1.1681 -3.3537 3.0336
```

=====

Record 7
## NiIrOs2 (PBE)

Data for a geometry-optimized NiIrOs2 structure.

* V: 54.60 Å³ per cell
* magnetic moment: 0.0001 μB/atom
* energy of formation: 0.07 eV/atom
* Fermi-level density of states: 4.61 states/eV/cell

The structure in extended XYZ format:
```
4
Lattice="2.7149 0.0000 0.0000 0.0000 3.7708 0.0000 0.0000 0.0000 5.3337" Properties=species:S:1:pos:R:3 pbc="T T T"
Ni 1.3574 1.8854 4.0045
Ir 0.0000 0.0000 2.7213
Os 0.0000 0.0000 5.3160
Os 1.3574 1.8854 1.2926
```

=====

Record 8
## NiIr4Os (PBE)

Data for a geometry-optimized NiIr4Os structure.

* V: 93.02 Å³ per cell
* magnetic moment: 0.1970 μB/atom
* energy of formation: 0.79 eV/atom
* energy above the lowest structure with this stoichiometry: 756 meV per atom
* Fermi-level density of states: 11.26 states/eV/cell

The structure in extended XYZ format:
```
6
Lattice="2.8894 -3.6992 -1.9579 -0.2606 -4.7082 1.9054 -2.1393 -3.7285 -2.7181" Properties=species:S:1:pos:R:3 pbc="T T T"
Ni 0.1224 -3.0340 -0.6927
Ir 1.3743 -5.7211 -0.3738
Ir 0.4360 -5.2318 -2.6829
Ir 0.3059 -7.5832 -1.7313
Ir -1.1372 -5.7357 -0.7534
Os 0.0000 0.0000 0.0000
```

=====

Record 9
## NiIrOs2 (PBE)

Data for a geometry-optimized NiIrOs2 structure.

* V: 54.52 Å³ per cell
* magnetic moment: 0.0001 μB/atom
* energy of formation: 0.11 eV/atom
* Fermi-level density of states: 5.84 states/eV/cell

The structure in extended XYZ format:
```
4
Lattice="-1.5964 1.3491 -1.7359 -0.5166 -2.3154 -1.3244 -5.8087 -1.2180 4.3952" Properties=species:S:1:pos:R:3 pbc="T T T"
Ir -2.9496 -0.6185 2.2318
Ni -5.4312 -1.4004 1.7800
Os -5.7542 -1.2066 4.3540
Os -2.4997 -0.7858 -0.4381
```

=====

Record 10
## NiIrOs2 (PBE)

Data for a geometry-optimized NiIrOs2 structure.

* V: 55.15 Å³ per cell
* magnetic moment: 0.0000 μB/atom
* energy of formation: 0.32 eV/atom
* Fermi-level density of states: 3.49 states/eV/cell

The structure in extended XYZ format:
```
4
Lattice="-3.8398 0.9617 3.4797 -3.6082 -3.6451 1.2133 5.0412 1.5304 -0.1482" Properties=species:S:1:pos:R:3 pbc="T T T"
Ir -1.2613 0.5752 2.8390
Ni -1.1455 -1.7282 1.7058
Os -0.2233 -0.0804 0.1407
Os -3.5007 -1.2612 2.2058
```

=====

Record 11
## NiIr4Os (PBE)

Data for a geometry-optimized NiIr4Os structure.

* V: 84.03 Å³ per cell
* magnetic moment: 0.0000 μB/atom
* energy of formation: 0.04 eV/atom
* energy above the lowest structure with this stoichiometry: 10 meV per atom
* Fermi-level density of states: 7.23 states/eV/cell

The structure in extended XYZ format:
```
6
Lattice="-0.5739 1.8369 -1.9281 -1.7870 -2.6946 -2.0352 -6.9304 1.7666 3.7459" Properties=species:S:1:pos:R:3 pbc="T T T"
Ni -0.8935 -1.3473 -1.0176
Ir -3.1855 -0.7631 0.2211
Ir -1.4054 1.2035 -0.3597
Ir -5.5320 -0.1649 1.4895
Ir -7.8860 -0.2945 0.1422
Os -3.7522 1.8018 0.9089
```

=====

Record 12
## NiIrOs2 (PBE)

Data for a geometry-optimized NiIrOs2 structure.

* V: 54.32 Å³ per cell
* magnetic moment: 0.0000 μB/atom
* energy of formation: 0.17 eV/atom
* Fermi-level density of states: 3.70 states/eV/cell

The structure in extended XYZ format:
```
4
Lattice="2.7043 0.0000 0.0000 0.0000 2.7043 0.0000 0.0000 0.0000 7.4271" Properties=species:S:1:pos:R:3 pbc="T T T"
Ir 1.3521 1.3521 1.8568
Ni 1.3521 1.3521 5.5703
Os 0.0000 0.0000 7.3340
Os 0.0000 0.0000 3.8066
```

=====

Record 13
## NiIrOs3 (PBE)

Data for a geometry-optimized NiIrOs3 structure.

* V: 81.67 Å³ per cell
* magnetic moment: 0.0000 μB/atom
* energy of formation: 1.97 eV/atom
* energy above the lowest structure with this stoichiometry: 0 meV per atom
* Fermi-level density of states: 5.21 states/eV/cell

The structure in extended XYZ format:
```
5
Lattice="-3.6740 1.4036 -1.8320 -1.5082 -4.0671 -0.0916 -1.7469 0.5593 3.9319" Properties=species:S:1:pos:R:3 pbc="T T T"
Ni 0.0000 0.0000 0.0000
Ir -3.4645 -1.0521 1.0042
Os -0.7541 -2.0336 -0.0458
Os -0.8735 0.2796 1.9660
Os -1.8370 0.7018 -0.9160
```

=====

Record 14
## NiIrOs2 (PBE)

Data for a geometry-optimized NiIrOs2 structure.

* V: 54.82 Å³ per cell
* magnetic moment: 0.0000 μB/atom
* energy of formation: 0.10 eV/atom
* Fermi-level density of states: 4.37 states/eV/cell

The structure in extended XYZ format:
```
4
Lattice="-2.8888 2.7058 -2.4318 -4.0349 2.3019 -0.0244 1.5007 4.1567 1.4119" Properties=species:S:1:pos:R:3 pbc="T T T"
Ir -2.7005 4.5382 -0.5243
Ni -1.3582 2.2964 -0.2614
Os 1.4824 4.1548 1.4029
Os -4.0574 6.9141 -0.7717
```

=====

Record 15
## NiIrOs2 (PBE)

Data for a geometry-optimized NiIrOs2 structure.

* V: 54.82 Å³ per cell
* magnetic moment: 0.0001 μB/atom
* energy of formation: 0.13 eV/atom
* Fermi-level density of states: 4.28 states/eV/cell

The structure in extended XYZ format:
```
4
Lattice="-0.8748 -0.1910 -4.5669 -1.6572 -2.5585 -3.5166 -4.3896 1.4460 -0.0106" Properties=species:S:1:pos:R:3 pbc="T T T"
Ir -5.1912 -0.9776 -6.0706
Ni -1.7304 -0.3259 -2.0235
Os -0.0216 0.0030 -0.0094
Os -3.4392 -0.6547 -4.0376
```

=====

Record 16
## NiIrOs2 (PBE)

Data for a geometry-optimized NiIrOs2 structure.

* V: 54.86 Å³ per cell
* magnetic moment: 0.0000 μB/atom
* energy of formation: 0.18 eV/atom
* Fermi-level density of states: 3.85 states/eV/cell

The structure in extended XYZ format:
```
4
Lattice="4.6652 0.0145 -0.0077 -1.6380 4.3682 -0.0077 0.0041 0.0059 2.6891" Properties=species:S:1:pos:R:3 pbc="T T T"
Ir 2.3347 0.0102 1.3407
Ni -0.8170 2.1871 1.3407
Os 0.0000 0.0000 0.0000
Os 1.5136 2.1913 -0.0077
```

=====

Record 17
## Ni3IrOs (PBE)

Data for a geometry-optimized Ni3IrOs structure.

* V: 84.55 Å³ per cell
* magnetic moment: 0.0000 μB/atom
* energy of formation: 1.75 eV/atom
* energy above the lowest structure with this stoichiometry: 0 meV per atom
* Fermi-level density of states: 6.89 states/eV/cell

The structure in extended XYZ format:
```
5
Lattice="-3.6252 -1.7916 1.7064 0.9220 -3.7872 -2.0176 2.2960 -1.3080 3.5045" Properties=species:S:1:pos:R:3 pbc="T T T"
Ni 0.4610 -1.8936 -1.0088
Ni 1.1480 -0.6540 1.7522
Ni -1.8126 -0.8958 0.8532
Ir -0.2036 -3.4434 1.5966
Os 0.0000 0.0000 0.0000
```

=====

Record 18
## NiIrOs2 (PBE)

Data for a geometry-optimized NiIrOs2 structure.

* V: 54.67 Å³ per cell
* magnetic moment: 0.0002 μB/atom
* energy of formation: 0.17 eV/atom
* Fermi-level density of states: 5.76 states/eV/cell

The structure in extended XYZ format:
```
4
Lattice="-1.8384 3.6463 2.3519 -4.6422 0.3682 -0.7216 2.7917 -3.5780 1.2694" Properties=species:S:1:pos:R:3 pbc="T T T"
Ir -2.5454 -0.6012 0.6814
Ni -1.1435 1.0378 2.2182
Os 0.0000 0.0000 0.0000
Os -3.2403 2.0073 0.8151
```

=====

Record 19
## Ni2Ir2Os3 (PBE)

Data for a geometry-optimized Ni2Ir2Os3 structure.

* V: 198.20 Å³ per cell
* magnetic moment: 0.0000 μB/atom
* energy of formation: 0.31 eV/atom
* Fermi-level density of states: 16.74 states/eV/cell

The structure in extended XYZ format:
```
14
Lattice="5.7995 2.5374 0.0000 1.0407 4.6207 0.0000 0.0000 0.0000 8.2048" Properties=species:S:1:pos:R:3 pbc="T T T"
Ni 0.9719 3.2378 2.1260
Ni 3.4889 4.9621 6.2284
Ni 3.3513 2.1961 1.9763
Ni 5.8683 3.9204 6.0787
Ir 5.2367 5.6228 4.2147
Ir 1.8166 2.0437 8.0924
Ir 5.0236 5.1144 0.1124
Ir 1.6035 1.5353 3.9900
Os 3.4201 3.5791 4.1024
Os 0.0000 0.0000 0.0000
Os 3.0022 4.7121 1.7312
Os 1.4585 3.4877 5.8336
Os 5.3816 3.6705 2.3712
Os 3.8379 2.4461 6.4736
```

=====

Record 20
## Ni2Ir8Os (PBE)

Data for a geometry-optimized Ni2Ir8Os structure.

* V: 153.79 Å³ per cell
* magnetic moment: 0.0000 μB/atom
* energy of formation: 0.01 eV/atom
* Fermi-level density of states: 10.66 states/eV/cell

The structure in extended XYZ format:
```
11
Lattice="0.8678 3.5037 -1.2832 1.8584 -2.3849 -5.2550 -7.1238 -0.4028 -0.1991" Properties=species:S:1:pos:R:3 pbc="T T T"
Ni -1.8473 -0.8993 -3.7045
Ni -2.5504 1.6152 -3.0328
Ir 0.0239 0.9200 -3.1902
Ir -4.0802 0.6397 -1.0125
Ir -1.4944 -0.0594 -1.1729
Ir 0.7666 -1.6181 -3.8997
Ir -2.9033 0.7754 -5.5645
Ir -0.3175 0.0762 -5.7248
Ir -4.4215 -0.2041 -3.5472
Ir -5.1643 2.3341 -2.8376
Os 0.4339 1.7518 -0.6416
```